## LaMg2Ni9 (GGA-PBE)

Data for crystalline LaMg2Ni9 at its relaxed geometry.

Unit cell a=4.9107 b=4.9107 c=15.8048 alpha=90.00 beta=90.00 gamma=120.00
Space group P6_3/mmc (No. 194)
Asymmetric unit:
La1 0.3333 0.6667 0.2500
Mg1 0.3333 0.6667 0.0327
Ni1 0.0000 0.0000 0.0000
Ni2 0.0000 0.0000 0.2500
Ni3 0.1680 0.3361 0.6216
Ni4 0.3333 0.6667 0.7500

Properties
Crystal system ... hexagonal
Energy ... -5.258 eV/atom
ΔE_f ... -246 meV per atom
Polymorph energy (0 for the lowest one) ... 0.007 eV per atom